Entry from Alexandria via LeMat-Bulk: crystalline Ba3ClO2 at its relaxed geometry (PBE).

a = 4.332 Å, b = 8.175 Å, c = 11.788 Å
α = 100.12°, β = 100.59°, γ = 90.00°
Fractional positions:
Ba (0.238, 0.297, 0.476)
Ba (0.061, 0.869, 0.122)
Ba (0.412, 0.669, 0.825)
Ba (0.762, 0.703, 0.524)
Ba (0.588, 0.331, 0.175)
Ba (0.939, 0.131, 0.878)
Cl (0.331, 0.034, 0.663)
Cl (0.669, 0.966, 0.337)
O (0.302, 0.584, 0.605)
O (0.698, 0.416, 0.395)
O (0.948, 0.832, 0.896)
O (0.052, 0.168, 0.104)

Computed properties:
As for the energy above the most stable polymorph in this dataset: 0 meV per atom. The calculation puts the volume at 404 Å³/cell. For the total magnetic moment, the calculation gives 0.233 μB/f.u.



Entry from Alexandria via LeMat-Bulk: crystalline BaCl3O at its relaxed geometry (PBE).

a = 4.791 Å, b = 4.791 Å, c = 4.791 Å
α = 90.00°, β = 90.00°, γ = 90.00°
Fractional positions:
Ba (0.500, 0.500, 0.500)
O (0.000, 0.000, 0.000)
Cl (0.000, 0.500, 0.000)
Cl (0.000, 0.000, 0.500)
Cl (0.500, 0.000, 0.000)

Computed properties:
As for the energy above the most stable polymorph in this dataset: 0 meV per atom. The calculation puts the volume at 110 Å³/cell. For the total magnetic moment, the calculation gives 0.000 μB/f.u.



Entry from Alexandria via LeMat-Bulk: crystalline Ba2ClO at its relaxed geometry (PBE).

a = 4.068 Å, b = 4.068 Å, c = 7.807 Å
α = 90.02°, β = 105.07°, γ = 120.01°
Fractional positions:
Ba (0.533, 0.267, 0.800)
Ba (0.467, 0.733, 0.200)
Cl (0.000, 0.500, 0.500)
O (0.000, 0.000, 0.000)

Computed properties:
As for the energy above the most stable polymorph in this dataset: 0 meV per atom. The calculation puts the volume at 107 Å³/cell. For the total magnetic moment, the calculation gives 0.000 μB/f.u.



Entry from Alexandria via LeMat-Bulk: crystalline Ba4Cl3O2 at its relaxed geometry (PBE).

a = 4.346 Å, b = 7.803 Å, c = 9.327 Å
α = 87.97°, β = 76.53°, γ = 73.83°
Fractional positions:
Ba (0.285, 0.265, 0.166)
Ba (0.715, 0.735, 0.834)
Ba (0.108, 0.150, 0.634)
Ba (0.892, 0.850, 0.366)
Cl (0.376, 0.421, 0.826)
Cl (0.000, 0.000, 0.000)
Cl (0.624, 0.579, 0.174)
O (0.296, 0.048, 0.360)
O (0.704, 0.952, 0.640)

Computed properties:
The calculation puts the volume at 295 Å³/cell. For the total magnetic moment, the calculation gives 0.376 μB/f.u. The final energy comes out at -4.954 eV per atom.



Entry from Alexandria via LeMat-Bulk: crystalline Ba3ClO3 at its relaxed geometry (PBE).

a = 4.348 Å, b = 7.614 Å, c = 12.699 Å
α = 89.71°, β = 80.14°, γ = 73.41°
Last column: magnetic moment on the atom in μB.
Fractional positions:
Ba (0.118, 0.156, 0.608)  0.00
Ba (0.882, 0.844, 0.392)  0.00
Ba (0.296, 0.184, 0.223)  0.02
Ba (0.704, 0.816, 0.777)  0.02
Ba (0.885, 0.300, 0.930)  0.01
Ba (0.115, 0.700, 0.070)  0.01
Cl (0.410, 0.457, 0.723)  0.00
Cl (0.590, 0.543, 0.277)  0.00
O (0.273, 0.047, 0.407)  0.32
O (0.727, 0.953, 0.593)  0.32
O (0.313, 0.331, 0.042)  0.28
O (0.687, 0.669, 0.958)  0.28
O (0.907, 0.986, 0.199)  0.21
O (0.093, 0.014, 0.801)  0.21

Computed properties:
The calculation puts the volume at 397 Å³/cell. For the total magnetic moment, the calculation gives 1.022 μB/f.u. The final energy comes out at -5.501 eV per atom.



Entry from Alexandria via LeMat-Bulk: crystalline Ba4Cl6O at its relaxed geometry (PBE).

a = 10.119 Å, b = 10.119 Å, c = 7.715 Å
α = 90.00°, β = 90.00°, γ = 120.00°
Last column: magnetic moment on the atom in μB.
Fractional positions:
Ba (0.667, 0.333, 0.931)  0.00
Ba (0.333, 0.667, 0.431)  0.00
Ba (0.804, 0.609, 0.496)  0.00
Ba (0.196, 0.804, 0.996)  0.00
Ba (0.609, 0.804, 0.996)  0.00
Ba (0.391, 0.196, 0.496)  0.00
Ba (0.804, 0.196, 0.496)  0.00
Ba (0.196, 0.391, 0.996)  0.00
Cl (0.531, 0.469, 0.212)  0.00
Cl (0.063, 0.531, 0.712)  0.00
Cl (0.469, 0.937, 0.712)  0.00
Cl (0.531, 0.063, 0.212)  0.00
Cl (0.937, 0.469, 0.212)  0.00
Cl (0.469, 0.531, 0.712)  0.00
Cl (0.146, 0.291, 0.390)  0.00
Cl (0.854, 0.146, 0.890)  0.00
Cl (0.291, 0.146, 0.890)  0.00
Cl (0.709, 0.854, 0.390)  0.00
Cl (0.146, 0.854, 0.390)  0.00
Cl (0.854, 0.709, 0.890)  0.00
O (0.667, 0.333, 0.600)  0.10
O (0.333, 0.667, 0.100)  0.10

Computed properties:
The calculation puts the volume at 684 Å³/cell. For the total magnetic moment, the calculation gives 0.141 μB/f.u. The final energy comes out at -4.751 eV per atom.